Below is a geometry-optimized TmPaHg2 structure, with properties calculated at the PBE-GGA level.

Geometry as POSCAR:
```
TmPaHg2
1.0
3.3305 0.0000 0.0000
0.0000 3.3305 0.0000
0.0000 0.0000 8.7876
Tm Pa Hg
1 1 2
direct
0.0000 0.0000 0.0000 Tm
0.0000 0.0000 0.5000 Pa
0.5000 0.5000 0.2398 Hg
0.5000 0.5000 0.7602 Hg
```

Symmetry: P4/mmm (123)


Below is a geometry-optimized KBi2F2 structure, with properties calculated at the PBE-GGA level.

Geometry as POSCAR:
```
KBi2F2
1.0
9.2331 0.0000 0.0000
0.0000 9.2331 0.0000
0.0000 0.0000 3.1281
K Bi F
2 4 4
direct
0.0000 0.0000 0.0000 K
0.5000 0.5000 0.0000 K
0.1231 0.3769 0.0000 Bi
0.3769 0.8769 0.0000 Bi
0.6231 0.1231 0.0000 Bi
0.8769 0.6231 0.0000 Bi
0.2247 0.7247 0.5000 F
0.2753 0.2247 0.5000 F
0.7247 0.7753 0.5000 F
0.7753 0.2753 0.5000 F
```

Symmetry: P4/mbm (127)
ΔE_f (raw), eV per atom: -0.9128


Below is a geometry-optimized ZrReAg structure, with properties calculated at the PBE-GGA level.

Geometry as POSCAR:
```
ZrReAg
1.0
0.0000 3.1973 3.1973
3.1973 0.0000 3.1973
3.1973 3.1973 0.0000
Zr Re Ag
1 1 1
direct
0.0000 0.0000 0.0000 Zr
0.2500 0.2500 0.2500 Re
0.7500 0.7500 0.7500 Ag
```

Symmetry: F-43m (216)


Below is a geometry-optimized Dy2Re2B2C structure, with properties calculated at the PBE-GGA level.

Geometry as POSCAR:
```
Dy2Re2B2C
1.0
5.4677 -1.7672 0.0000
5.4677 1.7672 0.0000
-3.9882 0.0000 5.4257
Dy Re B C
2 2 2 1
direct
0.0729 0.0729 0.3266 Dy
0.9271 0.9271 0.6734 Dy
0.2935 0.2935 0.9039 Re
0.7065 0.7065 0.0961 Re
0.3465 0.3465 0.2878 B
0.6535 0.6535 0.7122 B
0.5000 0.5000 0.0000 C
```

Symmetry: C2/m (12)


Below is a geometry-optimized Nb3AgSe structure, with properties calculated at the PBE-GGA level.

Geometry as POSCAR:
```
Nb3AgSe
1.0
4.9446 0.0000 0.0000
0.0000 4.9446 0.0000
0.0000 0.0000 4.9446
Nb Ag Se
3 1 1
direct
0.0000 0.0000 0.5000 Nb
0.0000 0.5000 0.0000 Nb
0.5000 0.0000 0.0000 Nb
0.0000 0.0000 0.0000 Ag
0.5000 0.5000 0.5000 Se
```

Symmetry: Pm-3m (221)
ΔE_f (raw), eV per atom: 1.7073


Below is a geometry-optimized Be2HgBr structure, with properties calculated at the PBE-GGA level.

Geometry as POSCAR:
```
Be2HgBr
1.0
1.6639 0.9607 6.9522
-1.6639 0.9607 6.9522
0.0000 -1.9213 6.9522
Be Hg Br
2 1 1
direct
0.2473 0.2473 0.2473 Be
0.7527 0.7527 0.7527 Be
0.5000 0.5000 0.5000 Hg
0.0000 0.0000 0.0000 Br
```

Symmetry: R-3m (166)
ΔE_f (raw), eV per atom: 0.4142


Below is a geometry-optimized Tb2Pu3PaP6 structure, with properties calculated at the PBE-GGA level.

Geometry as POSCAR:
```
Tb2Pu3PaP6
1.0
3.4738 -6.0162 0.0000
3.4738 6.0162 0.0000
-2.3154 0.0000 6.5078
Tb Pu Pa P
2 3 1 6
direct
0.1663 0.8337 0.0000 Tb
0.8337 0.1663 0.0000 Tb
0.0000 0.0000 0.5000 Pu
0.3314 0.6686 0.5000 Pu
0.6686 0.3314 0.5000 Pu
0.5000 0.5000 0.0000 Pa
0.0886 0.4164 0.7487 P
0.2566 0.2566 0.2517 P
0.4164 0.0886 0.7487 P
0.5836 0.9114 0.2513 P
0.7434 0.7434 0.7483 P
0.9114 0.5836 0.2513 P
```

Symmetry: C2/m (12)


Number 1: E -3.796 eV per atom. Number 2: E -3.433 eV per atom. Number 3: E -6.815 eV per atom. Number 4: E -8.512 eV per atom. Number 5: E -5.602 eV per atom. Number 6: E -1.943 eV per atom. Number 7: E -9.201 eV per atom.